1.
Below is an optimized crystal structure of Ba2AgGe, with properties calculated at the PBE-GGA level.

total moment: 0.9 μB/f.u.
uncorrected energy: -2.72 eV per atom

Lattice parameters (Å, degrees): 10.149 10.149 10.149 141.26 141.26 55.94
Fractional positions:
Ba1 0.108 0.625 0.983
Ba2 0.375 0.358 0.483
Ba3 0.642 0.125 0.017
Ba4 0.875 0.892 0.517
Ag1 0.250 0.750 0.500
Ag2 0.500 0.500 0.000
Ge1 0.000 0.000 0.000
Ge2 0.750 0.250 0.500



2.
Below is an optimized crystal structure of Ba8AgGe2, with properties calculated at the PBE-GGA level.

total moment: 0.0 μB/f.u.
uncorrected energy: -2.76 eV per atom

Lattice parameters (Å, degrees): 11.357 11.357 8.096 102.58 102.58 28.39
Fractional positions:
Ba1 0.044 0.044 0.298
Ba2 0.211 0.211 0.832
Ba3 0.331 0.331 0.533
Ba4 0.408 0.408 0.059
Ba5 0.592 0.592 0.941
Ba6 0.669 0.669 0.467
Ba7 0.789 0.789 0.168
Ba8 0.956 0.956 0.702
Ag1 0.500 0.500 0.500
Ge1 0.193 0.193 0.228
Ge2 0.807 0.807 0.772